Entry 1:
5
Lattice="5.051 0.000 0.000 0.000 5.051 0.000 0.000 0.000 5.084" Properties=species:S:1:pos:R:3 comment="RbInCo2Cu (PBE, optimized geometry)" e_form_ev_per_atom=1.088 vol_a3_per_cell=130 pbc="T T T"
Rb 0.000 0.000 0.000
In 2.525 2.525 2.542
Co 0.000 2.525 2.542
Co 2.525 0.000 2.542
Cu 2.525 2.525 0.000


Entry 2:
20
Lattice="10.803 0.000 0.000 0.000 10.803 0.000 0.000 0.000 3.293" Properties=species:S:1:pos:R:3 comment="Sc5In2Co2Cu (PBE, optimized geometry)" e_form_ev_per_atom=-0.348 vol_a3_per_cell=384 pbc="T T T"
Sc 0.000 5.401 0.000
Sc 0.774 2.191 0.000
Sc 2.191 10.028 0.000
Sc 3.210 4.627 0.000
Sc 4.627 7.593 0.000
Sc 5.401 0.000 0.000
Sc 6.176 3.210 0.000
Sc 7.593 6.176 0.000
Sc 8.611 0.774 0.000
Sc 10.028 8.611 0.000
In 1.879 7.281 1.647
In 3.522 1.879 1.647
In 7.281 8.923 1.647
In 8.923 3.522 1.647
Co 1.437 3.964 1.647
Co 3.964 9.365 1.647
Co 6.839 1.437 1.647
Co 9.365 6.839 1.647
Cu 0.000 0.000 1.647
Cu 5.401 5.401 1.647


Entry 3:
16
Lattice="6.334 0.000 0.000 0.000 6.334 0.000 0.000 0.000 6.334" Properties=species:S:1:pos:R:3 comment="ScInCoCu (PBE, optimized geometry)" e_form_ev_per_atom=-0.218 vol_a3_per_cell=254 pbc="T T T"
Sc 0.000 0.000 0.000
Sc 0.000 3.167 3.167
Sc 3.167 0.000 3.167
Sc 3.167 3.167 0.000
In 0.000 0.000 3.167
In 0.000 3.167 0.000
In 3.167 0.000 0.000
In 3.167 3.167 3.167
Co 1.583 1.583 1.583
Co 1.583 4.750 4.750
Co 4.750 1.583 4.750
Co 4.750 4.750 1.583
Cu 1.583 1.583 4.750
Cu 1.583 4.750 1.583
Cu 4.750 1.583 1.583
Cu 4.750 4.750 4.750


Entry 4:
5
Lattice="4.900 0.000 0.000 0.000 4.900 0.000 0.000 0.000 4.525" Properties=species:S:1:pos:R:3 comment="InCoCuTc2 (PBE, optimized geometry)" e_form_ev_per_atom=2.338 vol_a3_per_cell=109 pbc="T T T"
In 0.000 0.000 0.000
Co 2.450 2.450 2.263
Cu 0.000 0.000 2.263
Tc 0.000 2.450 0.000
Tc 2.450 0.000 0.000


Entry 5:
5
Lattice="4.575 0.000 0.000 0.000 4.575 0.000 0.000 0.000 4.146" Properties=species:S:1:pos:R:3 comment="TiInCoCu2 (PBE, optimized geometry)" e_form_ev_per_atom=0.404 vol_a3_per_cell=87 pbc="T T T"
Ti 0.000 0.000 0.000
In 2.288 2.288 0.000
Co 0.000 0.000 2.073
Cu 0.000 2.288 2.073
Cu 2.288 0.000 2.073


Entry 6:
16
Lattice="6.168 0.000 0.000 0.000 6.168 0.000 0.000 0.000 6.168" Properties=species:S:1:pos:R:3 comment="TiInCoCu (PBE, optimized geometry)" e_form_ev_per_atom=-0.134 vol_a3_per_cell=235 pbc="T T T"
Ti 0.000 0.000 0.000
Ti 0.000 3.084 3.084
Ti 3.084 0.000 3.084
Ti 3.084 3.084 0.000
In 0.000 0.000 3.084
In 0.000 3.084 0.000
In 3.084 0.000 0.000
In 3.084 3.084 3.084
Co 1.542 1.542 1.542
Co 1.542 4.626 4.626
Co 4.626 1.542 4.626
Co 4.626 4.626 1.542
Cu 1.542 1.542 4.626
Cu 1.542 4.626 1.542
Cu 4.626 1.542 1.542
Cu 4.626 4.626 4.626


Entry 7:
16
Lattice="6.069 0.000 0.000 0.000 6.069 0.000 0.000 0.000 6.069" Properties=species:S:1:pos:R:3 comment="VInCoCu (PBE, optimized geometry)" e_form_ev_per_atom=0.093 vol_a3_per_cell=223 pbc="T T T"
V 0.000 0.000 0.000
V 0.000 3.034 3.034
V 3.034 0.000 3.034
V 3.034 3.034 0.000
In 0.000 0.000 3.034
In 0.000 3.034 0.000
In 3.034 0.000 0.000
In 3.034 3.034 3.034
Co 1.517 1.517 4.551
Co 1.517 4.551 1.517
Co 4.551 1.517 1.517
Co 4.551 4.551 4.551
Cu 1.517 1.517 1.517
Cu 1.517 4.551 4.551
Cu 4.551 1.517 4.551
Cu 4.551 4.551 1.517


Entry 8:
16
Lattice="6.591 0.000 0.000 0.000 6.591 0.000 0.000 0.000 6.591" Properties=species:S:1:pos:R:3 comment="YInCoCu (PBE, optimized geometry)" e_form_ev_per_atom=-0.146 vol_a3_per_cell=286 pbc="T T T"
Y 0.000 0.000 0.000
Y 0.000 3.295 3.295
Y 3.295 0.000 3.295
Y 3.295 3.295 0.000
In 0.000 0.000 3.295
In 0.000 3.295 0.000
In 3.295 0.000 0.000
In 3.295 3.295 3.295
Co 1.648 1.648 4.943
Co 1.648 4.943 1.648
Co 4.943 1.648 1.648
Co 4.943 4.943 4.943
Cu 1.648 1.648 1.648
Cu 1.648 4.943 4.943
Cu 4.943 1.648 4.943
Cu 4.943 4.943 1.648